# ThZnCu

ThZnCu after structural relaxation (GGA-PBE, the Alexandria database).

The structure in POSCAR format:
```
ThZnCu
1.0
4.500 0.000 0.000
-2.250 3.898 0.000
0.000 0.000 3.504
Th Zn Cu
1 1 1
Cartesian
0.000 0.000 0.000 Th
0.000 2.598 1.752 Zn
2.250 1.299 1.752 Cu
```

Summary:
The energy relative to the elements comes out at -22.3 kJ per mole of atoms. The total magnetic moment comes out at 0.00 μB per formula unit.



# BaCrRe2

BaCrRe2 after structural relaxation (GGA-PBE, the Alexandria database).

The structure in POSCAR format:
```
BaCrRe2
1.0
0.000 3.340 3.340
3.340 0.000 3.340
3.340 3.340 0.000
Ba Cr Re
1 1 2
Cartesian
0.000 0.000 0.000 Ba
5.010 5.010 5.010 Cr
1.670 1.670 1.670 Re
3.340 3.340 3.340 Re
```

Summary:
The energy relative to the elements comes out at 137.6 kJ per mole of atoms. Its energy above the most stable polymorph in this dataset is 639 meV/atom. The total magnetic moment comes out at 1.83 μB per formula unit.



# Y2Er2Si4Ir

Y2Er2Si4Ir after structural relaxation (GGA-PBE, the Alexandria database).

The structure in POSCAR format:
```
Y2Er2Si4Ir
1.0
-3.416 3.416 4.234
3.416 -3.416 4.234
3.416 3.416 -4.234
Y Er Si Ir
2 2 4 1
Cartesian
3.416 0.000 2.117 Y
0.000 3.416 2.117 Y
0.000 0.000 1.585 Er
0.000 0.000 6.883 Er
1.719 1.719 0.000 Si
1.698 -1.698 4.234 Si
-1.698 1.698 4.234 Si
1.698 1.698 4.234 Si
0.000 0.000 4.234 Ir
```

Summary:
The value obtained for the formation energy without anion corrections is -339 kJ/mol of formula units. The total magnetic moment comes out at 0.00 μB per formula unit.